Record 1
# SmAlRh PBE-GGA relaxed
# SG ... P-6m2
# Calculated density ... 7.3 g/cm3
# Magnetization ... 0.00 μB per cell
# Fermi-level density of states ... 1.01 states/eV/atom
# DFT formation energy ... -0.70 eV/atom
data_SmAlRh
_space_group_name_H-M_alt 'P 1'
_space_group_IT_number 1
_space_group_name_Hall 'P 1'
_cell_length_a 3.972
_cell_length_b 4.316
_cell_length_c 4.316
_cell_angle_alpha 120.00
_cell_angle_beta 90.00
_cell_angle_gamma 90.00
loop_
_atom_site_label
_atom_site_type_symbol
_atom_site_fract_x
_atom_site_fract_y
_atom_site_fract_z
_atom_site_occupancy
Rh1 Rh 0.166 0.667 0.333 1
Al1 Al 0.167 0.000 0.000 1
Sm1 Sm 0.667 0.333 0.667 1

=====

Record 2
# BaNa2PaF8 PBE-GGA relaxed
# SG ... I-4m2
# Calculated density ... 4.8 g/cm3
# Magnetization ... 1.00 μB per cell
# Fermi-level density of states ... 0.27 states/eV/atom
# Formation energy from raw total energies ... -3.49 eV/atom
data_BaNa2PaF8
_space_group_name_H-M_alt 'P 1'
_space_group_IT_number 1
_space_group_name_Hall 'P 1'
_cell_length_a 5.782
_cell_length_b 5.782
_cell_length_c 7.168
_cell_angle_alpha 113.78
_cell_angle_beta 113.78
_cell_angle_gamma 90.00
loop_
_atom_site_label
_atom_site_type_symbol
_atom_site_fract_x
_atom_site_fract_y
_atom_site_fract_z
_atom_site_occupancy
Ba1 Ba 0.500 0.500 0.000 1
Na1 Na 0.750 0.250 0.500 1
Na2 Na 0.000 0.000 0.000 1
Pa1 Pa 0.250 0.750 0.500 1
F1 F 0.124 0.636 0.728 1
F2 F 0.603 0.636 0.728 1
F3 F 0.364 0.397 0.272 1
F4 F 0.909 0.876 0.272 1
F5 F 0.603 0.091 0.728 1
F6 F 0.364 0.876 0.272 1
F7 F 0.124 0.091 0.728 1
F8 F 0.909 0.397 0.272 1

=====

Record 3
# Mg3Si4 PBE-GGA relaxed
# Distance to the lowest polymorph of the same formula ... 57 meV/atom
# SG ... P1
# Calculated density ... 2.3 g/cm3
# Magnetization ... 0.00 μB per cell
# Fermi-level density of states ... 0.24 states/eV/atom
# Formation energy from raw total energies ... 0.11 eV/atom
data_Mg3Si4
_space_group_name_H-M_alt 'P 1'
_space_group_IT_number 1
_space_group_name_Hall 'P 1'
_cell_length_a 3.939
_cell_length_b 7.817
_cell_length_c 9.343
_cell_angle_alpha 107.41
_cell_angle_beta 102.01
_cell_angle_gamma 89.94
loop_
_atom_site_label
_atom_site_type_symbol
_atom_site_fract_x
_atom_site_fract_y
_atom_site_fract_z
_atom_site_occupancy
Mg1 Mg 0.211 0.377 0.474 1
Mg2 Mg 0.574 0.125 0.206 1
Mg3 Mg 0.502 0.672 0.057 1
Mg4 Mg 0.990 0.324 0.039 1
Mg5 Mg 0.715 0.945 0.482 1
Mg6 Mg 0.842 0.640 0.726 1
Si1 Si 0.129 0.656 0.315 1
Si2 Si 0.609 0.471 0.275 1
Si3 Si 0.802 0.281 0.659 1
Si4 Si 0.382 0.337 0.822 1
Si5 Si 0.099 0.931 0.253 1
Si6 Si 0.400 0.026 0.858 1
Si7 Si 0.281 0.787 0.605 1
Si8 Si 0.962 0.928 0.983 1